This record from the Alexandria database describes a geometry-optimized FeAgPtO6 structure. The functional is PBE with a Hubbard U.

The density is 7.139 g/cm3. As for the crystal system: trigonal. For the calculated volume, the calculation gives 211.6 Å³/cell. As for the electronic total energy: -96.23 eV for the cell shown. As for the spin magnetization: 3.10 μB per formula unit. The value obtained for the density of states at the Fermi level is 6.9 states/eV/f.u. The space-group type is P-31c (163).

Lattice parameters (Å, degrees): 5.2074 5.2074 9.0089 90.00 90.00 120.00
Element x y z (fractional)
O 0.3632 0.9998 0.1314
O 0.0002 0.3634 0.1314
O 0.0002 0.6368 0.3686
O 0.3634 0.3632 0.8686
O 0.6366 0.9998 0.3686
O 0.6368 0.6366 0.6314
O 0.3634 0.0002 0.6314
O 0.3632 0.3634 0.3686
O 0.6366 0.6368 0.1314
O 0.6368 0.0002 0.8686
O 0.9998 0.3632 0.6314
O 0.9998 0.6366 0.8686
Pt 0.3333 0.6667 0.2500
Pt 0.6667 0.3333 0.7500
Ag 0.0000 0.0000 0.0000
Ag 0.0000 0.0000 0.5000
Fe 0.3333 0.6667 0.7500
Fe 0.6667 0.3333 0.2500